(1)
The following is a PBE calculation of a relaxed structure of PrDyTm5Th2, from Alexandria via LeMat-Bulk.

Output
Energy relative to the elements (meV/atom): 336

a = 8.728 Å, b = 8.728 Å, c = 9.841 Å
α = 116.32°, β = 116.32°, γ = 90.00°
Fractional positions:
Tm (0.569, 0.653, 0.722)
Tm (0.000, 0.000, 0.000)
Tm (0.069, 0.569, 0.722)
Tm (0.931, 0.431, 0.278)
Th (0.619, 0.119, 0.000)
Dy (0.750, 0.750, 0.500)
Th (0.381, 0.881, 0.000)
Tm (0.500, 0.500, 0.000)
Pr (0.250, 0.750, 0.500)
Th (0.881, 0.619, 0.000)
Tm (0.653, 0.153, 0.722)
Tm (0.847, 0.931, 0.278)
Pr (0.750, 0.250, 0.500)
Tm (0.153, 0.069, 0.722)
Tm (0.431, 0.347, 0.278)
Dy (0.250, 0.250, 0.500)
Th (0.119, 0.381, 0.000)
Tm (0.347, 0.847, 0.278)

(2)
The following is a PBE calculation of a relaxed structure of TaFeTc2Cl, from Alexandria via LeMat-Bulk.

Output
ΔE_f (raw) (eV per atom): 1.329

a = 4.483 Å, b = 4.676 Å, c = 4.483 Å
α = 90.00°, β = 90.00°, γ = 90.00°
Fractional positions:
Tc (0.000, 0.000, 0.500)
Tc (0.500, 0.000, 0.000)
Ta (0.000, 0.500, 0.000)
Cl (0.500, 0.500, 0.500)
Fe (0.000, 0.000, 0.000)

(3)
The following is a PBE calculation of a relaxed structure of Ag3RuSe, from Alexandria via LeMat-Bulk.

Output
ΔE_f (raw) (eV per atom): 1.319

a = 5.068 Å, b = 5.068 Å, c = 5.068 Å
α = 90.00°, β = 90.00°, γ = 90.00°
Fractional positions:
Ag (0.000, 0.500, 0.000)
Ru (0.000, 0.000, 0.000)
Ag (0.000, 0.000, 0.500)
Se (0.500, 0.500, 0.500)
Ag (0.500, 0.000, 0.000)

(4)
The following is a PBE calculation of a relaxed structure of YHI2, from Alexandria via LeMat-Bulk.

Output
Calculated total energy (eV per atom): -3.64

a = 5.261 Å, b = 5.261 Å, c = 5.261 Å
α = 60.00°, β = 60.00°, γ = 60.00°
Fractional positions:
H (0.000, 0.000, 0.000)
Y (0.500, 0.500, 0.500)
I (0.750, 0.750, 0.750)
I (0.250, 0.250, 0.250)

(5)
The following is a PBE calculation of a relaxed structure of InPd4Pb, from Alexandria via LeMat-Bulk.

Output
Energy relative to the elements (meV/atom): -318

a = 3.312 Å, b = 7.433 Å, c = 17.691 Å
α = 90.00°, β = 90.00°, γ = 90.00°
Fractional positions:
Pb (0.250, 0.278, 0.947)
Pd (0.750, 0.410, 0.833)
Pb (0.750, 0.722, 0.053)
Pd (0.250, 0.523, 0.432)
Pd (0.250, 0.590, 0.167)
Pd (0.750, 0.847, 0.423)
In (0.750, 0.770, 0.805)
Pd (0.250, 0.653, 0.923)
Pd (0.750, 0.977, 0.932)
Pd (0.250, 0.153, 0.577)
Pd (0.750, 0.910, 0.667)
Pb (0.750, 0.222, 0.447)
Pd (0.250, 0.023, 0.068)
Pd (0.750, 0.920, 0.203)
In (0.250, 0.230, 0.195)
In (0.750, 0.270, 0.695)
Pd (0.250, 0.580, 0.703)
Pd (0.750, 0.477, 0.568)
Pd (0.250, 0.080, 0.797)
Pd (0.250, 0.090, 0.333)
Pd (0.750, 0.347, 0.077)
Pd (0.750, 0.420, 0.297)
In (0.250, 0.730, 0.305)
Pb (0.250, 0.778, 0.553)

(6)
The following is a PBE calculation of a relaxed structure of AgPS2, from Alexandria via LeMat-Bulk.

Output
ΔE_f (raw) (eV per atom): 0.604

a = 4.547 Å, b = 4.547 Å, c = 4.547 Å
α = 60.00°, β = 60.00°, γ = 60.00°
Fractional positions:
S (0.750, 0.750, 0.750)
S (0.250, 0.250, 0.250)
Ag (0.500, 0.500, 0.500)
P (0.000, 0.000, 0.000)

(7)
The following is a PBE calculation of a relaxed structure of Sr2NbRh, from Alexandria via LeMat-Bulk.

Output
Energy relative to the elements (meV/atom): 499

a = 11.337 Å, b = 11.337 Å, c = 8.374 Å
α = 47.40°, β = 47.40°, γ = 90.00°
Fractional positions:
Nb (0.500, 0.500, 0.000)
Sr (0.788, 0.125, 0.250)
Sr (0.875, 0.038, 0.750)
Rh (0.750, 0.250, 0.500)
Sr (0.375, 0.212, 0.750)
Sr (0.962, 0.625, 0.250)
Rh (0.000, 0.000, 0.000)
Nb (0.250, 0.750, 0.500)

(8)
The following is a PBE calculation of a relaxed structure of Ta2MnTc, from Alexandria via LeMat-Bulk.

Output
Energy relative to the elements (meV/atom): -60

a = 5.287 Å, b = 5.105 Å, c = 2.803 Å
α = 78.80°, β = 81.08°, γ = 118.38°
Fractional positions:
Ta (0.000, 0.000, 0.000)
Ta (0.500, 0.000, 0.500)
Tc (0.000, 0.500, 0.500)
Mn (0.500, 0.500, 0.000)